No. 1
Material: PuTl2Br2Cl2
Method: DFT, PBE-GGA
State: relaxed

Output
**Formation energy (no corrections)**: -8.33 eV/f.u.
**Volume**: 514 Å³/cell
**N(E_F)**: 2.060 states/eV/atom
**Calculated total energy**: -4.92 eV/atom

a b c (Å): 5.474 5.474 17.161
angles (deg): 90.00 90.00 90.00
Space group I4/mmm (No. 139)
Symmetry-distinct sites (fractional):
Pu1 0.000 0.000 0.000 (multiplicity 2)
Tl1 0.000 0.000 0.357 (multiplicity 4)
Br1 0.000 0.000 0.173 (multiplicity 4)
Cl1 0.000 0.500 0.000 (multiplicity 4)

No. 2
Material: BeSb2Ir
Method: DFT, PBE-GGA
State: relaxed

Output
**Formation energy (no corrections)**: 1.09 eV/f.u.
**Volume**: 232 Å³/cell
**N(E_F)**: 0.539 states/eV/atom
**Calculated total energy**: -4.94 eV/atom

a b c (Å): 3.2234 3.2234 25.7375
angles (deg): 90.00 90.00 120.00
Space group R3m (No. 160, hexagonal axes)
Symmetry-distinct sites (fractional):
Be1 0.0000 0.0000 0.0000 (multiplicity 3)
Sb1 0.0000 0.0000 0.2571 (multiplicity 3)
Sb2 0.0000 0.0000 0.4702 (multiplicity 3)
Ir1 0.0000 0.0000 0.7243 (multiplicity 3)

No. 3
Material: CrFe2Ag
Method: DFT, PBE-GGA
State: relaxed

Output
**Volume**: 54 Å³/cell
**N(E_F)**: 0.880 states/eV/atom
**Calculated total energy**: -6.95 eV/atom
**E above lowest polymorph**: 79 meV/atom

a b c (Å): 3.762 3.762 3.814
angles (deg): 90.00 90.00 90.00
Space group P4/mmm (No. 123)
Symmetry-distinct sites (fractional):
Cr1 0.000 0.000 0.000 (multiplicity 1)
Fe1 0.000 0.500 0.500 (multiplicity 2)
Ag1 0.500 0.500 0.000 (multiplicity 1)

No. 4
Material: Rb2LiP2O6
Method: DFT, PBE-GGA
State: relaxed

Output
**Formation energy (no corrections)**: -22.49 eV/f.u.
**Volume**: 511 Å³/cell
**N(E_F)**: 0.087 states/eV/atom
**Calculated total energy**: -6.08 eV/atom

a b c (Å): 5.8992 5.8992 16.9565
angles (deg): 90.00 90.00 120.00
Space group R-3m (No. 166, hexagonal axes)
Symmetry-distinct sites (fractional):
Rb1 0.0000 0.0000 0.2222 (multiplicity 6)
Li1 0.0000 0.0000 0.0000 (multiplicity 3)
P1 0.0000 0.0000 0.4277 (multiplicity 6)
O1 0.0399 0.5200 0.2555 (multiplicity 18)

No. 5
Material: YSbSCl2
Method: DFT, PBE-GGA
State: relaxed

Output
**Formation energy (no corrections)**: -1.11 eV/f.u.
**Volume**: 148 Å³/cell
**N(E_F)**: 1.008 states/eV/atom
**Calculated total energy**: -3.90 eV/atom
**E above lowest polymorph**: 750 meV/atom

a b c (Å): 5.259 5.259 5.360
angles (deg): 90.00 90.00 90.00
Space group P4/mmm (No. 123)
Symmetry-distinct sites (fractional):
Y1 0.000 0.000 0.000 (multiplicity 1)
Sb1 0.500 0.500 0.500 (multiplicity 1)
S1 0.500 0.500 0.000 (multiplicity 1)
Cl1 0.000 0.500 0.500 (multiplicity 2)

No. 6
Material: Ac2Tb4Er
Method: DFT, PBE-GGA
State: relaxed

Output
**Volume**: 499 Å³/cell
**N(E_F)**: 1.636 states/eV/atom
**Calculated total energy**: -4.38 eV/atom

a b c (Å): 3.637 37.615 3.648
angles (deg): 90.00 90.00 90.00
Space group Cmmm (No. 65)
Symmetry-distinct sites (fractional):
Ac1 0.000 0.204 0.000 (multiplicity 4)
Tb1 0.000 0.065 0.000 (multiplicity 4)
Tb2 0.000 0.370 0.500 (multiplicity 4)
Er1 0.000 0.500 0.500 (multiplicity 2)

No. 7
Material: Mg2BAs
Method: DFT, PBE-GGA
State: relaxed

Output
**Volume**: 262 Å³/cell
**N(E_F)**: 0.437 states/eV/atom
**Calculated total energy**: -3.21 eV/atom
**E above lowest polymorph**: 0 meV/atom

a b c (Å): 6.400 6.400 6.400
angles (deg): 90.00 90.00 90.00
Space group Fm-3m (No. 225)
Symmetry-distinct sites (fractional):
Mg1 0.250 0.250 0.250 (multiplicity 8)
B1 0.000 0.000 0.000 (multiplicity 4)
As1 0.000 0.000 0.500 (multiplicity 4)

No. 8
Material: Dy3Hg2Pt2
Method: DFT, PBE-GGA
State: relaxed

Output
**Volume**: 331 Å³/cell
**N(E_F)**: 0.523 states/eV/atom
**Calculated total energy**: -4.62 eV/atom

a b c (Å): 3.967 22.590 3.694
angles (deg): 90.00 90.00 90.00
Space group Cmmm (No. 65)
Symmetry-distinct sites (fractional):
Dy1 0.000 0.000 0.000 (multiplicity 2)
Dy2 0.000 0.168 0.000 (multiplicity 4)
Hg1 0.000 0.421 0.500 (multiplicity 4)
Pt1 0.000 0.291 0.500 (multiplicity 4)